# 1
This record from Alexandria describes an optimized crystal structure of Sr3Be. The functional is GGA-PBE.

```
Sr3Be
1.0
6.714 0.082 0.000
2.440 6.256 0.000
-4.577 -3.169 3.754
Sr Be
3 1
direct
0.250 0.750 0.500
0.500 0.500 0.000
0.750 0.250 0.500
0.000 0.000 0.000
```

## Properties
ΔE to the lowest computed polymorph: 100 kJ/mol of formula units
Space-group type: I4/mmm
Electronic total energy: -1.6596 eV/atom


# 2
This record from Alexandria describes an optimized crystal structure of Os. The functional is GGA-PBE.

```
Os
1.0
6.000 0.000 0.000
0.000 6.000 0.000
0.000 0.000 3.657
Os
8
direct
0.788 0.584 0.000
0.212 0.416 0.000
0.416 0.788 0.000
0.584 0.212 0.000
0.288 0.084 0.500
0.712 0.916 0.500
0.916 0.288 0.500
0.084 0.712 0.500
```

## Properties
ΔE to the lowest computed polymorph: 67 kJ/mol of formula units
Space-group type: I4/m
Electronic total energy: -10.5365 eV/atom


# 3
This record from Alexandria describes an optimized crystal structure of PmInGa2Cl6. The functional is GGA-PBE.

```
PmInGa2Cl6
1.0
-1.630 -3.411 6.587
-4.589 -6.053 0.120
3.222 -7.187 1.461
Pm In Ga Cl
1 1 2 6
direct
0.322 0.322 0.035
0.811 0.811 0.567
0.518 0.518 0.446
0.012 0.013 0.962
0.578 0.222 0.237
0.222 0.963 0.238
0.963 0.578 0.237
0.396 0.696 0.764
0.697 0.143 0.764
0.144 0.396 0.764
```

## Properties
Space-group type: P1
Electronic total energy: -3.8167 eV/atom
ΔE_f (raw): -1.354 eV/atom


# 4
This record from Alexandria describes an optimized crystal structure of GaTePdRu2. The functional is GGA-PBE.

```
GaTePdRu2
1.0
-3.062 -0.503 -3.450
-1.354 -3.979 1.782
-3.203 2.219 2.520
Ru Te Ga Pd
2 1 1 1
direct
0.000 0.000 0.500
0.500 0.000 0.000
0.500 0.500 0.500
0.000 0.000 0.000
0.000 0.500 0.000
```

## Properties
Space-group type: P4/mmm
Electronic total energy: -5.1400 eV/atom
ΔE_f (raw): 0.843 eV/atom


# 5
This record from Alexandria describes an optimized crystal structure of Ce3Y3TmTe8. The functional is GGA-PBE.

```
Ce3Y3TmTe8
1.0
8.783 0.000 0.000
-4.391 7.606 -0.027
0.000 -5.045 7.294
Ce Y Tm Te
3 3 1 8
direct
0.000 0.000 0.000
0.000 0.500 0.000
0.500 0.500 0.000
0.500 0.000 0.500
0.500 0.500 0.500
0.000 0.500 0.500
0.000 0.000 0.500
0.253 0.507 0.260
0.747 0.493 0.740
0.751 0.501 0.258
0.249 0.499 0.742
0.751 0.007 0.258
0.249 0.993 0.742
0.257 0.007 0.258
0.743 0.993 0.742
```

## Properties
Space-group type: R-3m
Electronic total energy: -5.8364 eV/atom
ΔE_f (raw): -1.383 eV/atom


# 6
This record from Alexandria describes an optimized crystal structure of Pm4Sm3Sc2. The functional is GGA-PBE.

```
Pm4Sm3Sc2
1.0
5.042 -0.001 0.001
2.519 5.508 1.024
-0.002 1.389 10.567
Pm Sm Sc
4 3 2
direct
0.667 0.665 0.890
0.998 0.003 0.330
0.002 0.997 0.670
0.333 0.335 0.110
0.331 0.337 0.445
0.000 0.000 0.000
0.669 0.663 0.555
0.333 0.335 0.777
0.667 0.665 0.223
```

## Properties
ΔE to the lowest computed polymorph: 0 kJ/mol of formula units
Space-group type: C2/m
Electronic total energy: -5.0521 eV/atom